4
Lattice="-1.1982 -3.7630 -2.5758 3.0716 -1.8266 -3.0756 1.9980 -4.1821 0.8651" Properties=species:S:1:pos:R:3 comment="GGA-PBE NpSnIrRu, optimized geometry" formation_enthalpy_0k_ev_per_atom=-0.1753 pbc="T T T"
Np 0.0000 0.0000 0.0000
Ru 2.9035 -7.3288 -3.5898
Ir 0.9678 -2.4429 -1.1966
Sn 1.9357 -4.8858 -2.3932

4
Lattice="0.0000 3.1885 3.1885 3.1885 0.0000 3.1885 3.1885 3.1885 0.0000" Properties=species:S:1:pos:R:3 comment="GGA-PBE CaNiMo2, optimized geometry" formation_enthalpy_0k_ev_per_atom=0.9965 e_above_lowest_polymorph_ev_per_atom=0.6725 pbc="T T T"
Ni 3.1885 3.1885 3.1885
Mo 1.5943 1.5943 1.5943
Mo 4.7828 4.7828 4.7828
Ca 0.0000 0.0000 0.0000

8
Lattice="-1.2340 -1.1297 3.2827 -6.8469 0.3807 -2.4428 3.7784 -6.1819 -0.7072" Properties=species:S:1:pos:R:3 comment="GGA-PBE Y3Rh2Au3, optimized geometry" formation_enthalpy_0k_ev_per_atom=-0.8383 pbc="T T T"
Y -1.8565 -2.9082 0.3690
Y -4.6982 -0.3380 0.1853
Y 1.6352 -4.2497 1.2198
Rh 0.2366 -3.9944 -1.2857
Rh -3.3052 -1.8069 -1.8642
Au -2.3592 -4.4603 -2.4218
Au -1.5827 0.0880 -0.5646
Au 0.8734 -1.4290 -0.1635

12
Lattice="-2.0680 5.0302 -3.4115 -4.7726 3.6592 2.2474 4.9249 9.2357 4.5914" Properties=species:S:1:pos:R:3 comment="GGA-PBE Tb7Er3Sc2, optimized geometry" formation_enthalpy_0k_ev_per_atom=0.3032 e_above_lowest_polymorph_ev_per_atom=0.1994 pbc="T T T"
Tb -0.9578 8.9625 1.7136
Tb 0.7534 9.4846 4.4975
Tb -0.2912 12.0255 2.7743
Tb 2.1195 10.1771 1.6391
Tb -2.6691 8.4404 -1.0703
Tb -4.0352 7.7479 1.7881
Tb -1.6245 5.8996 0.6529
Er 0.0000 0.0000 0.0000
Er 1.6487 6.3532 2.3272
Er -3.5644 11.5718 1.1000
Sc 2.6392 12.1273 4.1995
Sc -4.5549 5.7977 -0.7723

4
Lattice="5.0231 0.0000 0.0000 0.0000 5.0231 0.0000 0.0000 0.0000 3.5921" Properties=species:S:1:pos:R:3 comment="GGA-PBE TlSiSe2, optimized geometry" raw_formation_energy_kj_per_mol_atoms=29 pbc="T T T"
Se 0.0000 0.0000 0.0000
Se 2.5115 2.5115 0.0000
Si 2.5115 0.0000 1.7960
Tl 0.0000 2.5115 1.7960

6
Lattice="-5.1439 -3.5032 -0.1179 -3.6217 -3.4989 3.6589 -6.4818 4.5060 2.6073" Properties=species:S:1:pos:R:3 comment="GGA-PBE KCl, optimized geometry" raw_formation_energy_kj_per_mol_atoms=-182 pbc="T T T"
Cl -14.5126 -1.9251 5.8515
Cl -10.7426 -2.3585 4.3326
Cl -7.2353 -2.8465 2.9195
K -4.9731 -0.9804 2.0055
K -4.2250 2.5355 1.7000
K -7.9942 3.0089 3.2186

5
Lattice="4.2827 0.0000 0.0000 0.0000 4.2827 0.0000 0.0000 0.0000 3.7135" Properties=species:S:1:pos:R:3 comment="GGA-PBE Nb2VHPd, optimized geometry" e_above_lowest_polymorph_ev_per_atom=0.0589 pbc="T T T"
H 0.0000 0.0000 0.0000
Nb 0.0000 2.1414 0.0000
Nb 2.1414 0.0000 0.0000
Pd 0.0000 0.0000 1.8567
V 2.1414 2.1414 1.8567

10
Lattice="-3.5813 -1.0877 1.9948 1.3707 -4.0040 0.2776 4.5821 2.2229 9.4384" Properties=species:S:1:pos:R:3 comment="GGA-PBE Nd2Ni4Sn3Rh, optimized geometry" formation_enthalpy_0k_ev_per_atom=-0.4596 pbc="T T T"
Nd -0.6048 0.0314 3.4400
Nd 4.0817 -0.3544 7.1347
Ni -1.1053 -2.5459 1.1362
Ni 0.0000 0.0000 0.0000
Ni 1.1211 0.8687 6.9952
Ni 2.3557 -1.1917 3.5794
Sn 2.2911 1.1114 4.7192
Sn 2.2007 1.3924 9.2189
Sn 1.2761 -1.7154 1.3557
Rh 1.1858 -1.4344 5.8554

4
Lattice="-1.5376 -5.1331 -0.7310 0.5029 -2.3067 -4.8655 3.7152 -3.8482 -0.7971" Properties=species:S:1:pos:R:3 comment="GGA-PBE SmYMgPb, optimized geometry" formation_enthalpy_0k_ev_per_atom=-0.3114 pbc="T T T"
Pb 1.3402 -5.6440 -3.1968
Y 2.0103 -8.4660 -4.7952
Mg 0.0000 0.0000 0.0000
Sm 0.6701 -2.8220 -1.5984

8
Lattice="4.5125 0.0000 0.0000 -2.2563 5.3018 0.0000 0.0000 0.0000 6.8296" Properties=species:S:1:pos:R:3 comment="GGA-PBE ThZn2Au, optimized geometry" formation_enthalpy_0k_ev_per_atom=-0.4129 pbc="T T T"
Th 2.2563 2.7119 3.4148
Th 2.2563 0.8375 0.0000
Zn 0.0000 0.4016 4.7023
Zn 0.0000 0.4016 2.1273
Zn 2.2563 4.0222 0.0000
Zn 0.0000 4.9514 3.4148
Au 0.0000 3.0324 5.4417
Au 0.0000 3.0324 1.3879

5
Lattice="-0.0115 -1.8591 -4.6121 -2.7348 -3.3697 1.3651 -3.9739 2.7759 -1.1091" Properties=species:S:1:pos:R:3 comment="GGA-PBE BaTeRu2N, optimized geometry" raw_formation_energy_kj_per_mol_atoms=107 pbc="T T T"
Ru -1.9870 1.3880 -0.5545
Ru -0.0057 -0.9296 -2.3060
Te 0.0000 0.0000 0.0000
Ba -3.3601 -1.2265 -2.1780
N -1.3674 -1.6848 0.6826

5
Lattice="-1.8693 3.9502 -0.3171 -3.9253 -1.8938 -0.4523 -0.5448 0.0911 4.3467" Properties=species:S:1:pos:R:3 comment="GGA-PBE ZrPtF3, optimized geometry" e_above_lowest_polymorph_ev_per_atom=1.2675 raw_formation_energy_kj_per_mol_atoms=-52 pbc="T T T"
Zr -3.1697 1.0737 1.7887
Pt 0.0000 0.0000 0.0000
F -1.9626 -0.9469 -0.2261
F -0.2724 0.0455 2.1734
F -0.9347 1.9751 -0.1585